Record 1
# HfScFeAg, relaxed, DFT GGA-PBE
# Formation enthalpy at 0 K = -64 meV/atom
# Total magnetic moment = 0.00 μB per formula unit
data_HfScFeAg
_symmetry_space_group_name_H-M 'P 1'
_symmetry_Int_Tables_number 1
_symmetry_space_group_name_Hall 'P 1'
_cell_length_a 4.6323
_cell_length_b 4.6323
_cell_length_c 4.6323
_cell_angle_alpha 60.00
_cell_angle_beta 60.00
_cell_angle_gamma 60.00
loop_
_atom_site_label
_atom_site_type_symbol
_atom_site_fract_x
_atom_site_fract_y
_atom_site_fract_z
_atom_site_occupancy
Hf1 Hf 0.0000 0.0000 0.0000 1
Sc1 Sc 0.5000 0.5000 0.5000 1
Fe1 Fe 0.2500 0.2500 0.2500 1
Ag1 Ag 0.7500 0.7500 0.7500 1

***

Record 2
# GdHfPa, relaxed, DFT GGA-PBE
# Polymorph energy (0 for the lowest one) = 34.0 meV/atom
# Formation enthalpy at 0 K = 219 meV/atom
# Total magnetic moment = 6.56 μB per formula unit
data_GdHfPa
_symmetry_space_group_name_H-M 'P 1'
_symmetry_Int_Tables_number 1
_symmetry_space_group_name_Hall 'P 1'
_cell_length_a 5.2673
_cell_length_b 5.2673
_cell_length_c 3.1761
_cell_angle_alpha 90.00
_cell_angle_beta 90.00
_cell_angle_gamma 120.00
loop_
_atom_site_label
_atom_site_type_symbol
_atom_site_fract_x
_atom_site_fract_y
_atom_site_fract_z
_atom_site_occupancy
Gd1 Gd 0.0000 0.0000 0.0000 1
Hf1 Hf 0.3333 0.6667 0.5000 1
Pa1 Pa 0.6667 0.3333 0.0000 1

***

Record 3
# CoReAu2, relaxed, DFT GGA-PBE
# Polymorph energy (0 for the lowest one) = 310.2 meV/atom
# Formation enthalpy at 0 K = 508 meV/atom
# Total magnetic moment = 2.53 μB per formula unit
data_CoReAu2
_symmetry_space_group_name_H-M 'P 1'
_symmetry_Int_Tables_number 1
_symmetry_space_group_name_Hall 'P 1'
_cell_length_a 4.9746
_cell_length_b 4.9746
_cell_length_c 2.6974
_cell_angle_alpha 90.00
_cell_angle_beta 90.00
_cell_angle_gamma 110.50
loop_
_atom_site_label
_atom_site_type_symbol
_atom_site_fract_x
_atom_site_fract_y
_atom_site_fract_z
_atom_site_occupancy
Co1 Co 0.0000 0.0000 0.0000 1
Re1 Re 0.5000 0.5000 0.0000 1
Au1 Au 0.0000 0.5000 0.5000 1
Au2 Au 0.5000 0.0000 0.5000 1

***

Record 4
# Dy3TmBi2, relaxed, DFT GGA-PBE
# Polymorph energy (0 for the lowest one) = 0.0 meV/atom
# Formation enthalpy at 0 K = -586 meV/atom
# Total magnetic moment = 0.00 μB per formula unit
data_Dy3TmBi2
_symmetry_space_group_name_H-M 'P 1'
_symmetry_Int_Tables_number 1
_symmetry_space_group_name_Hall 'P 1'
_cell_length_a 4.5362
_cell_length_b 4.5362
_cell_length_c 8.5917
_cell_angle_alpha 90.00
_cell_angle_beta 90.00
_cell_angle_gamma 90.00
loop_
_atom_site_label
_atom_site_type_symbol
_atom_site_fract_x
_atom_site_fract_y
_atom_site_fract_z
_atom_site_occupancy
Dy1 Dy 0.0000 0.0000 0.0000 1
Dy2 Dy 0.0000 0.5000 0.6547 1
Dy3 Dy 0.5000 0.0000 0.3453 1
Tm1 Tm 0.5000 0.5000 0.0000 1
Bi1 Bi 0.0000 0.5000 0.2837 1
Bi2 Bi 0.5000 0.0000 0.7163 1

***

Record 5
# CaZnH6Ir2, relaxed, DFT GGA-PBE
# Total magnetic moment = 0.00 μB per formula unit
data_CaZnH6Ir2
_symmetry_space_group_name_H-M 'P 1'
_symmetry_Int_Tables_number 1
_symmetry_space_group_name_Hall 'P 1'
_cell_length_a 5.9778
_cell_length_b 5.9778
_cell_length_c 5.9778
_cell_angle_alpha 44.27
_cell_angle_beta 44.27
_cell_angle_gamma 44.27
loop_
_atom_site_label
_atom_site_type_symbol
_atom_site_fract_x
_atom_site_fract_y
_atom_site_fract_z
_atom_site_occupancy
Ca1 Ca 0.0000 0.0000 0.0000 1
Zn1 Zn 0.5000 0.5000 0.5000 1
H1 H 0.0394 0.5714 0.5714 1
H2 H 0.4286 0.4286 0.9606 1
H3 H 0.4286 0.9606 0.4286 1
H4 H 0.5714 0.0394 0.5714 1
H5 H 0.5714 0.5714 0.0394 1
H6 H 0.9606 0.4286 0.4286 1
Ir1 Ir 0.2050 0.2050 0.2050 1
Ir2 Ir 0.7950 0.7950 0.7950 1

***

Record 6
# SrGaPt3, relaxed, DFT GGA-PBE
# Polymorph energy (0 for the lowest one) = 2017.8 meV/atom
# Formation enthalpy at 0 K = 1377 meV/atom
# Total magnetic moment = 0.00 μB per formula unit
data_SrGaPt3
_symmetry_space_group_name_H-M 'P 1'
_symmetry_Int_Tables_number 1
_symmetry_space_group_name_Hall 'P 1'
_cell_length_a 5.2996
_cell_length_b 5.2996
_cell_length_c 5.2996
_cell_angle_alpha 90.00
_cell_angle_beta 90.00
_cell_angle_gamma 90.00
loop_
_atom_site_label
_atom_site_type_symbol
_atom_site_fract_x
_atom_site_fract_y
_atom_site_fract_z
_atom_site_occupancy
Sr1 Sr 0.0000 0.0000 0.0000 1
Ga1 Ga 0.5000 0.5000 0.5000 1
Pt1 Pt 0.0000 0.0000 0.5000 1
Pt2 Pt 0.0000 0.5000 0.0000 1
Pt3 Pt 0.5000 0.0000 0.0000 1

***

Record 7
# Li2Sn2Rh, relaxed, DFT GGA-PBE
# Formation enthalpy at 0 K = -274 meV/atom
# Total magnetic moment = 0.00 μB per formula unit
data_Li2Sn2Rh
_symmetry_space_group_name_H-M 'P 1'
_symmetry_Int_Tables_number 1
_symmetry_space_group_name_Hall 'P 1'
_cell_length_a 7.0585
_cell_length_b 7.0585
_cell_length_c 3.7121
_cell_angle_alpha 90.00
_cell_angle_beta 90.00
_cell_angle_gamma 90.00
loop_
_atom_site_label
_atom_site_type_symbol
_atom_site_fract_x
_atom_site_fract_y
_atom_site_fract_z
_atom_site_occupancy
Li1 Li 0.1574 0.3426 0.0000 1
Li2 Li 0.3426 0.8426 0.0000 1
Li3 Li 0.6574 0.1574 0.0000 1
Li4 Li 0.8426 0.6574 0.0000 1
Sn1 Sn 0.1490 0.6490 0.5000 1
Sn2 Sn 0.3510 0.1490 0.5000 1
Sn3 Sn 0.6490 0.8510 0.5000 1
Sn4 Sn 0.8510 0.3510 0.5000 1
Rh1 Rh 0.0000 0.0000 0.5000 1
Rh2 Rh 0.5000 0.5000 0.5000 1

***

Record 8
# Ac4GaRu2, relaxed, DFT GGA-PBE
# Formation enthalpy at 0 K = -183 meV/atom
# Total magnetic moment = 0.00 μB per formula unit
data_Ac4GaRu2
_symmetry_space_group_name_H-M 'P 1'
_symmetry_Int_Tables_number 1
_symmetry_space_group_name_Hall 'P 1'
_cell_length_a 10.1574
_cell_length_b 10.1574
_cell_length_c 10.1574
_cell_angle_alpha 29.11
_cell_angle_beta 29.11
_cell_angle_gamma 29.11
loop_
_atom_site_label
_atom_site_type_symbol
_atom_site_fract_x
_atom_site_fract_y
_atom_site_fract_z
_atom_site_occupancy
Ac1 Ac 0.1172 0.1172 0.1172 1
Ac2 Ac 0.2940 0.2940 0.2940 1
Ac3 Ac 0.7060 0.7060 0.7060 1
Ac4 Ac 0.8828 0.8828 0.8828 1
Ga1 Ga 0.5000 0.5000 0.5000 1
Ru1 Ru 0.4123 0.4123 0.4123 1
Ru2 Ru 0.5877 0.5877 0.5877 1

***

Calculated density for the records above, in order: 9.1, 12.3, 17.0, 10.1, 8.7, 8.3, 6.4, 8.9 Mg/m³
Total energy for the records above, in order: -0.256, -0.403, -0.221, -0.181, -0.160, -0.117, -0.151, -0.206 Ha/atom